Entry from OQMD: a geometry-optimized Li2BeNiAs2 structure (PBE).

Uncorrected energy, eV per formula unit: -25.4

Lattice parameters (Å, degrees): 3.6659 3.6659 6.2479 90.00 90.00 90.00
With the nearest neighbours (Å) after each atom.
Space group P-4m2 (No. 115)
Unique sites:
Li1 0.0000 0.5000 0.1648  5 As 2.64-2.66, 2 Ni 2.78, 2 Be 2.78
Be1 0.0000 0.0000 0.5000  4 As 2.37, 4 Ni 2.59
Ni1 0.5000 0.5000 0.5000  4 As 2.37, 4 Be 2.59
As1 0.0000 0.5000 0.7416  2 Ni 2.37, 2 Be 2.37, 5 Li 2.64-2.66